Computed, not measured: crystalline DyCo3Cu4O12 at its relaxed geometry at the PBE with a Hubbard U level of DFT.

The structure belongs to space group Im-3 (No. 204); the cell edges are 7.324, 7.324 and 7.324 Å and the angles 90.00°, 90.00° and 90.00°. The asymmetric unit holds Dy at (0.000, 0.000, 0.000), Co at (0.000, 0.000, 0.500), Cu at (0.250, 0.250, 0.250) and O at (0.000, 0.171, 0.308).

The density of states at the Fermi level comes out at 0.319 states/eV/atom. The total energy is -115.003 eV per formula unit. The calculation puts the magnetization at 12.26 μB per cell.